First-principles (PBE-GGA) data for an optimized crystal structure of MgSc2OF, as listed in the Alexandria database.

space-group type = P4/mmm (123)
formation energy without anion corrections = -1.0003 eV per atom

abc: 4.1470 4.1470 4.9909
angles: 90.00 90.00 90.00
Last column: nearest neighbours and their distance in Å.
Element x y z (fractional)
Mg: 0.0000 0.0000 0.0000  4 O 2.93, 8 Sc 3.24
Sc: 0.0000 0.5000 0.5000  2 F 2.07
Sc: 0.5000 0.0000 0.5000  2 F 2.07
O: 0.5000 0.5000 0.0000  2 F 2.50
F: 0.5000 0.5000 0.5000  4 Sc 2.07